(1)
VASP calculation (PBE) on a relaxed Al4ZnAs crystal.

The structure belongs to space group F-43m (No. 216); the cell edges are 7.557, 7.557 and 7.557 Å and the angles 90.00°, 90.00° and 90.00°. The asymmetric unit holds Al at (0.125, 0.125, 0.125), Zn at (0.000, 0.000, 0.500) and As at (0.250, 0.250, 0.750).

The formation energy comes out at 0.272 eV/atom. For the total moment, the calculation gives 0.000 μB per atom. The total energy comes out at -3.210 eV/atom. The value obtained for the density of states at the Fermi level is 15.29 states/eV/cell.

---

(2)
VASP calculation (PBE) on a relaxed Al2ZnAs crystal.

The structure belongs to space group I-4m2 (No. 119); the cell edges are 4.044, 4.044 and 8.459 Å and the angles 90.00°, 90.00° and 90.00°. The asymmetric unit holds Al at (0.000, 0.000, 0.000), Al at (0.000, 0.500, 0.250), Zn at (0.000, 0.000, 0.500) and As at (0.000, 0.500, 0.750).

The calculation puts the polymorph energy (0 for the lowest one) at 0.48 eV per formula unit. The formation energy comes out at 0.127 eV/atom. For the total moment, the calculation gives 0.000 μB per atom. The total energy comes out at -3.225 eV/atom. The value obtained for the density of states at the Fermi level is 2.50 states/eV/cell.

---

(3)
VASP calculation (PBE) on a relaxed Al2ZnAs crystal.

The structure belongs to space group Pmmm (No. 47); the cell edges are 2.924, 3.879 and 6.051 Å and the angles 90.00°, 90.00° and 90.00°. The asymmetric unit holds Al at (0.000, 0.000, 0.237), Zn at (0.500, 0.500, 0.000) and As at (0.500, 0.500, 0.500).

The calculation puts the polymorph energy (0 for the lowest one) at 0.42 eV per formula unit. The formation energy comes out at 0.110 eV/atom. For the total moment, the calculation gives 0.000 μB per atom. The total energy comes out at -3.242 eV/atom. The value obtained for the density of states at the Fermi level is 1.67 states/eV/cell.